1.
First-principles (PBE-GGA) data for crystalline TiSe2Cl2 at its relaxed geometry, as listed in Alexandria.

Lattice parameters (Å, degrees): 6.694 6.694 7.587 96.96 96.96 122.86
Fractional positions:
Ti 0.146 0.854 0.000
Ti 0.854 0.146 0.000
Se 0.079 0.079 0.284
Se 0.316 0.316 0.100
Se 0.684 0.684 0.900
Se 0.921 0.921 0.716
Cl 0.047 0.481 0.805
Cl 0.481 0.047 0.805
Cl 0.519 0.953 0.195
Cl 0.953 0.519 0.195

Electronic total energy   -4.7786 eV/atom

2.
First-principles (PBE-GGA) data for crystalline Pr2ZnCd2Pd5 at its relaxed geometry, as listed in Alexandria.

Lattice parameters (Å, degrees): 10.551 10.551 3.620 90.00 90.00 90.00
Fractional positions:
Pr 0.169 0.331 0.000
Pr 0.331 0.831 0.000
Pr 0.669 0.169 0.000
Pr 0.831 0.669 0.000
Zn 0.000 0.000 0.000
Zn 0.500 0.500 0.000
Cd 0.133 0.633 0.000
Cd 0.367 0.133 0.000
Cd 0.633 0.867 0.000
Cd 0.867 0.367 0.000
Pd 0.000 0.500 0.500
Pd 0.043 0.812 0.500
Pd 0.188 0.043 0.500
Pd 0.312 0.543 0.500
Pd 0.457 0.312 0.500
Pd 0.500 0.000 0.500
Pd 0.543 0.688 0.500
Pd 0.688 0.457 0.500
Pd 0.812 0.957 0.500
Pd 0.957 0.188 0.500

Formation enthalpy at 0 K   -428 kJ/mol of formula units
Electronic total energy   -4.3058 eV/atom

3.
First-principles (PBE-GGA) data for crystalline K2RbInBr6 at its relaxed geometry, as listed in Alexandria.

Lattice parameters (Å, degrees): 8.411 8.411 8.411 57.74 57.74 57.74
Fractional positions:
K 0.000 0.000 0.000
K 0.488 0.488 0.488
Rb 0.205 0.205 0.205
In 0.694 0.694 0.694
Br 0.027 0.470 0.801
Br 0.352 0.888 0.602
Br 0.470 0.801 0.027
Br 0.602 0.352 0.888
Br 0.801 0.027 0.470
Br 0.888 0.602 0.352

Electronic total energy   -2.9702 eV/atom

4.
First-principles (PBE-GGA) data for crystalline ZnAs2Br at its relaxed geometry, as listed in Alexandria.

Lattice parameters (Å, degrees): 6.337 6.337 4.138 97.28 97.28 34.06
Fractional positions:
Zn 0.000 0.000 0.000
As 0.213 0.213 0.150
As 0.787 0.787 0.850
Br 0.500 0.500 0.500

Energy above the lowest structure with this stoichiometry   33 meV per atom
Electronic total energy   -3.1999 eV/atom

5.
First-principles (PBE-GGA) data for crystalline AgSb2TeBr at its relaxed geometry, as listed in Alexandria.

Lattice parameters (Å, degrees): 5.494 5.494 5.806 90.00 90.00 90.00
Fractional positions:
Ag 0.000 0.000 0.000
Sb 0.000 0.500 0.500
Sb 0.500 0.000 0.500
Te 0.500 0.500 0.000
Br 0.500 0.500 0.500

Energy above the lowest structure with this stoichiometry   439 meV per atom
Electronic total energy   -2.1836 eV/atom

6.
First-principles (PBE-GGA) data for crystalline Dy7Bi2Ir2 at its relaxed geometry, as listed in Alexandria.

Lattice parameters (Å, degrees): 9.746 9.746 9.746 157.42 65.28 119.66
Fractional positions:
Dy 0.000 0.000 0.000
Dy 0.302 0.434 0.868
Dy 0.318 0.635 0.684
Dy 0.566 0.434 0.132
Dy 0.627 0.280 0.347
Dy 0.934 0.280 0.653
Dy 0.951 0.635 0.316
Bi 0.268 0.768 0.500
Bi 0.676 0.676 0.000
Ir 0.179 0.939 0.240
Ir 0.699 0.939 0.760

Energy above the lowest structure with this stoichiometry   0 meV per atom
Formation enthalpy at 0 K   -718 kJ/mol of formula units
Electronic total energy   -5.9222 eV/atom

What did the fourth record say?
First-principles (PBE-GGA) data for crystalline ZnAs2Br at its relaxed geometry, as listed in Alexandria.

Lattice parameters (Å, degrees): 6.337 6.337 4.138 97.28 97.28 34.06
Fractional positions:
Zn 0.000 0.000 0.000
As 0.213 0.213 0.150
As 0.787 0.787 0.850
Br 0.500 0.500 0.500

Energy above the lowest structure with this stoichiometry   33 meV per atom
Electronic total energy   -3.1999 eV/atom

Question: The highest electronic total energy belongs to which entry?
Answer: AgSb2TeBr

Question: Among the records above, which one has the highest electronic total energy?
Answer: AgSb2TeBr